# Li2TaPb, relaxed, DFT GGA-PBE
data_Li2TaPb
_chemical_formula_sum 'Li2 Ta1 Pb1'
_symmetry_space_group_name_H-M 'P 1 2/m 1'
_symmetry_Int_Tables_number 10
_cell_length_a 2.987
_cell_length_b 4.953
_cell_length_c 5.268
_cell_angle_alpha 90.00
_cell_angle_beta 93.60
_cell_angle_gamma 90.00
loop_
_symmetry_equiv_pos_as_xyz
'x,y,z'
'-x,-y,-z'
'-x,y,-z'
'x,-y,z'
loop_
_atom_site_label
_atom_site_fract_x
_atom_site_fract_y
_atom_site_fract_z
Li1 0.150 0.000 0.223
Ta1 0.500 0.500 0.000
Pb1 0.000 0.500 0.500
# Energy, eV/atom: -4.524
# ΔH_f (0 K), kcal/mol of atoms: 7.5


# Pr8CoRh3Br4, relaxed, DFT GGA-PBE
data_Pr8CoRh3Br4
_chemical_formula_sum 'Pr16 Co2 Rh6 Br8'
_symmetry_space_group_name_H-M 'C 1 2/m 1'
_symmetry_Int_Tables_number 12
_cell_length_a 14.285
_cell_length_b 8.247
_cell_length_c 9.218
_cell_angle_alpha 90.00
_cell_angle_beta 121.16
_cell_angle_gamma 90.00
loop_
_symmetry_equiv_pos_as_xyz
'x,y,z'
'-x,-y,-z'
'-x,y,-z'
'x,-y,z'
'x+1/2,y+1/2,z'
'-x+1/2,-y+1/2,-z'
'-x+1/2,y+1/2,-z'
'x+1/2,-y+1/2,z'
loop_
_atom_site_label
_atom_site_fract_x
_atom_site_fract_y
_atom_site_fract_z
Pr1 0.016 0.243 0.306
Pr2 0.227 0.000 0.695
Pr3 0.233 0.500 0.698
Co1 0.000 0.000 0.500
Rh1 0.000 0.500 0.500
Rh2 0.250 0.250 0.500
Br1 0.000 0.000 0.000
Br2 0.000 0.500 0.000
Br3 0.250 0.250 0.000
# E_form (uncorrected), eV/atom: -0.979
# Energy, eV/atom: -5.610


# Rb2UPb3O12, relaxed, DFT GGA-PBE
data_Rb2UPb3O12
_chemical_formula_sum 'Rb6 U3 Pb9 O36'
_symmetry_space_group_name_H-M 'R -3 m'
_symmetry_Int_Tables_number 166
_symmetry_space_group_name_Hall '-R 3 2"'
_cell_length_a 7.7230
_cell_length_b 7.7230
_cell_length_c 20.0735
_cell_angle_alpha 90.00
_cell_angle_beta 90.00
_cell_angle_gamma 120.00
loop_
_atom_site_label
_atom_site_fract_x
_atom_site_fract_y
_atom_site_fract_z
Rb1 0.0000 0.0000 0.1133
U1 0.0000 0.0000 0.5000
Pb1 0.0000 0.5000 0.0000
O1 0.0516 0.5258 0.3631
O2 0.0864 0.5432 0.1080
# E_form (uncorrected), eV/atom: -1.169
# Energy, eV/atom: -5.827


The lowest energy belongs to which entry? Rb2UPb3O12


energy of number 1 (Li2TaPb)? -4.524 eV/atom


The lowest energy belongs to which entry? Rb2UPb3O12